1.
Below is crystalline CsPaBiO5 at its relaxed geometry, with properties calculated at the PBE level.

Calculated values
The value obtained for the formation energy without anion corrections is -2.217 eV per atom. The crystal system is monoclinic. For the magnetization, the calculation gives 0.00 μB/cell.

Cell: 6.7865 6.7865 8.4165 Å, 104.55 104.55 106.19°
Element x y z (fractional)
O 0.7901 0.6543 0.4047
Bi 0.6885 0.3115 0.2500
O 0.1044 0.7268 0.9022
Cs 0.6728 0.3272 0.7500
O 0.8956 0.2732 0.0978
O 0.9547 0.0453 0.7500
O 0.6543 0.7901 0.9047
O 0.0453 0.9547 0.2500
Cs 0.3272 0.6728 0.2500
O 0.2099 0.3457 0.5953
Pa 0.0000 0.0000 0.5000
Bi 0.3115 0.6885 0.7500
Pa 0.0000 0.0000 0.0000
O 0.7268 0.1044 0.4022
O 0.3457 0.2099 0.0953
O 0.2732 0.8956 0.5978

=====

2.
Below is crystalline KHfRuPb2 at its relaxed geometry, with properties calculated at the PBE level.

Calculated values
The crystal system is tetragonal. The energy relative to the elements is 149 kJ/mol of atoms. For the magnetization, the calculation gives 3.42 μB/cell.

Cell: 5.6240 5.6240 6.2072 Å, 90.00 90.00 90.00°
Element x y z (fractional)
Pb 0.5000 0.0000 0.0000
Ru 0.5000 0.5000 0.5000
Hf 0.0000 0.0000 0.0000
K 0.0000 0.0000 0.5000
Pb 0.0000 0.5000 0.0000

=====

3.
Below is crystalline InAg2P at its relaxed geometry, with properties calculated at the PBE level.

Calculated values
The energy above the most stable polymorph in this dataset comes out at 103 meV/atom. The crystal system is trigonal. The energy relative to the elements is 25 kJ/mol of atoms. For the magnetization, the calculation gives 0.00 μB/cell.

Cell: 8.6933 8.6933 8.6933 Å, 21.52 21.52 21.52°
Element x y z (fractional)
Ag 0.0064 0.0064 0.0064
P 0.7435 0.7435 0.7435
Ag 0.2528 0.2528 0.2528
In 0.4974 0.4974 0.4974

=====

4.
Below is crystalline Rb4Y3ThTe8 at its relaxed geometry, with properties calculated at the PBE level.

Calculated values
The value obtained for the formation energy without anion corrections is -1.337 eV per atom. The crystal system is trigonal. For the magnetization, the calculation gives 0.00 μB/cell.

Cell: 9.0499 10.0691 9.0497 Å, 116.71 120.00 90.00°
Element x y z (fractional)
Rb 0.5000 0.0000 0.0000
Te 0.2360 0.7032 0.9672
Te 0.7312 0.7032 0.9672
Th 0.0000 0.5000 0.0000
Y 0.5000 0.5000 0.5000
Rb 0.5000 0.0000 0.5000
Y 0.0000 0.5000 0.5000
Te 0.2360 0.7032 0.4720
Y 0.5000 0.5000 0.0000
Te 0.2688 0.2968 0.0328
Te 0.7640 0.2968 0.5280
Te 0.7333 0.6997 0.4665
Rb 0.0000 0.0000 0.0000
Te 0.2667 0.3003 0.5335
Rb 0.0000 0.0000 0.5000
Te 0.7640 0.2968 0.0328